A plane-wave DFT calculation with GGA-PBEsol was carried out for Gd2Fe17H3 after structural relaxation.

Calculated values
The volume is 10.90 Å³/atom. The space group is R-3m (166). Its energy is -8.733 eV/atom. As for the total magnetic moment: 43.24 Bohr magnetons per cell.

Cell lengths 6.2493, 6.2493, 6.2493 Å; angles 83.57, 83.57, 83.57 degrees
Last column: nearest neighbours and their distance in Å.
Fractional coordinates of all 22 atoms:
1 Fe 0.2850 0.7150 0.0000  1 H 1.79
2 H 0.5000 0.5000 0.0000  4 Fe 1.79-1.88
3 Gd 0.6565 0.6565 0.6565  3 H 2.41
4 Fe 0.7150 0.2850 0.0000  1 H 1.79
5 Fe 0.8469 0.3408 0.3408  1 H 1.88
6 Fe 0.1531 0.6592 0.6592  1 H 1.88
7 Fe 0.0961 0.0961 0.0961  7 Fe 2.30-2.56
8 Fe 0.0000 0.7150 0.2850  1 H 1.79
9 Fe 0.5000 0.0000 0.0000  10 Fe 2.35-2.55
10 Fe 0.2850 0.0000 0.7150  1 H 1.79
11 Fe 0.0000 0.2850 0.7150  1 H 1.79
12 H 0.0000 0.5000 0.5000  4 Fe 1.79-1.88
13 Fe 0.7150 0.0000 0.2850  1 H 1.79
14 Fe 0.3408 0.8469 0.3408  1 H 1.88
15 H 0.5000 0.0000 0.5000  4 Fe 1.79-1.88
16 Fe 0.3408 0.3408 0.8469  1 H 1.88
17 Fe 0.9039 0.9039 0.9039  7 Fe 2.30-2.56
18 Fe 0.0000 0.0000 0.5000  10 Fe 2.35-2.55
19 Fe 0.6592 0.1531 0.6592  1 H 1.88
20 Gd 0.3435 0.3435 0.3435  3 H 2.41
21 Fe 0.6592 0.6592 0.1531  1 H 1.88
22 Fe 0.0000 0.5000 0.0000  10 Fe 2.35-2.55